Compound: TaNb2Te6
Source: the Alexandria database
Functional: PBE
Structure: optimized geometry

Unit cell a=7.994 b=7.994 c=9.699 alpha=113.56 beta=113.56 gamma=26.60
Fractional coordinates of all 9 atoms:
Ta1 0.000 0.000 0.000
Nb1 0.323 0.323 0.646
Nb2 0.677 0.677 0.354
Te1 0.028 0.028 0.305
Te2 0.314 0.314 0.355
Te3 0.357 0.357 0.964
Te4 0.643 0.643 0.036
Te5 0.686 0.686 0.645
Te6 0.972 0.972 0.695

Fermi-level density of states (states/eV per cell): 5.7
Formation energy without anion corrections (eV per atom): -0.40
Space group: C2/m

***

Compound: V3ReRh6
Source: the Alexandria database
Functional: PBE
Structure: optimized geometry

Unit cell a=7.231 b=4.337 c=9.415 alpha=90.00 beta=109.17 gamma=90.00
Fractional coordinates of all 20 atoms:
V1 0.086 0.250 0.235
V2 0.302 0.250 0.033
V3 0.306 0.750 0.367
V4 0.694 0.250 0.633
V5 0.698 0.750 0.967
V6 0.914 0.750 0.765
Re1 0.098 0.750 0.567
Re2 0.902 0.250 0.433
Rh1 0.093 0.250 0.733
Rh2 0.109 0.750 0.072
Rh3 0.296 0.250 0.529
Rh4 0.301 0.750 0.868
Rh5 0.491 0.250 0.328
Rh6 0.499 0.250 0.833
Rh7 0.501 0.750 0.167
Rh8 0.509 0.750 0.672
Rh9 0.699 0.250 0.132
Rh10 0.704 0.750 0.471
Rh11 0.891 0.250 0.928
Rh12 0.907 0.750 0.267

Fermi-level density of states (states/eV per cell): 18.7
ΔE_f (meV/atom): -337
Space group: P2_1/m

***

Compound: LiP2Br
Source: the Alexandria database
Functional: PBE
Structure: optimized geometry

Unit cell a=3.414 b=3.414 c=6.706 alpha=90.00 beta=90.00 gamma=90.00
Fractional coordinates of all 4 atoms:
Li1 0.000 0.000 0.000
P1 0.000 0.000 0.399
P2 0.500 0.500 0.426
Br1 0.500 0.500 0.885

Fermi-level density of states (states/eV per cell): 0.8
Formation energy without anion corrections (eV per atom): -0.34
Space group: P4mm